# Sc2AlCo (PBE, optimized geometry)
# * V: 17.40 Å³ per atom
# * total DFT energy (no corrections): -24.9 eV/cell
data_Sc2AlCo
_chemical_formula_sum 'Sc2 Al1 Co1'
_symmetry_space_group_name_H-M 'P 1'
_symmetry_Int_Tables_number 1
_cell_length_a 4.5818
_cell_length_b 4.5818
_cell_length_c 3.3153
_cell_angle_alpha 90.00
_cell_angle_beta 90.00
_cell_angle_gamma 90.00
loop_
_symmetry_equiv_pos_as_xyz
'x,y,z'
loop_
_atom_site_label
_atom_site_fract_x
_atom_site_fract_y
_atom_site_fract_z
Sc1 0.0000 0.5000 0.0000
Sc2 0.5000 0.0000 0.0000
Al1 0.0000 0.0000 0.5000
Co1 0.5000 0.5000 0.5000

=====

# GaAgSeO5 (PBE, optimized geometry)
# * raw formation energy: -6.62 eV/f.u.
# * V: 13.03 Å³ per atom
data_GaAgSeO5
_chemical_formula_sum 'Ga2 Ag2 Se2 O10'
_symmetry_space_group_name_H-M 'P 1'
_symmetry_Int_Tables_number 1
_cell_length_a 5.8137
_cell_length_b 5.8137
_cell_length_c 6.9171
_cell_angle_alpha 103.98
_cell_angle_beta 103.98
_cell_angle_gamma 104.13
loop_
_symmetry_equiv_pos_as_xyz
'x,y,z'
loop_
_atom_site_label
_atom_site_fract_x
_atom_site_fract_y
_atom_site_fract_z
Ga1 0.0000 0.0000 0.0000
Ga2 0.0000 0.0000 0.5000
Ag1 0.3248 0.6752 0.7500
Ag2 0.6752 0.3248 0.2500
Se1 0.3214 0.6786 0.2500
Se2 0.6786 0.3214 0.7500
O1 0.0660 0.9340 0.7500
O2 0.1129 0.6823 0.3833
O3 0.2523 0.3921 0.0784
O4 0.3177 0.8871 0.1167
O5 0.3921 0.2523 0.5784
O6 0.6079 0.7477 0.4216
O7 0.6823 0.1129 0.8833
O8 0.7477 0.6079 0.9216
O9 0.8871 0.3177 0.6167
O10 0.9340 0.0660 0.2500

=====

# InMo2As (PBE, optimized geometry)
# * energy above the most stable polymorph in this dataset: 432 meV/atom
# * V: 17.40 Å³ per atom
data_InMo2As
_chemical_formula_sum 'In2 Mo4 As2'
_symmetry_space_group_name_H-M 'P 1'
_symmetry_Int_Tables_number 1
_cell_length_a 5.7610
_cell_length_b 8.7032
_cell_length_c 2.9703
_cell_angle_alpha 90.00
_cell_angle_beta 110.84
_cell_angle_gamma 90.00
loop_
_symmetry_equiv_pos_as_xyz
'x,y,z'
loop_
_atom_site_label
_atom_site_fract_x
_atom_site_fract_y
_atom_site_fract_z
In1 0.0000 0.0000 0.0000
In2 0.5000 0.5000 0.0000
Mo1 0.2500 0.2500 0.5000
Mo2 0.2500 0.7500 0.5000
Mo3 0.7500 0.2500 0.5000
Mo4 0.7500 0.7500 0.5000
As1 0.0000 0.5000 0.0000
As2 0.5000 0.0000 0.0000

=====

# AgOsCl2 (PBE, optimized geometry)
# * raw formation energy: 2.19 eV/f.u.
# * energy above the most stable polymorph in this dataset: 298 meV/atom
# * V: 18.10 Å³ per atom
data_AgOsCl2
_chemical_formula_sum 'Ag1 Os1 Cl2'
_symmetry_space_group_name_H-M 'P 1'
_symmetry_Int_Tables_number 1
_cell_length_a 3.0027
_cell_length_b 3.8949
_cell_length_c 6.1989
_cell_angle_alpha 90.00
_cell_angle_beta 92.90
_cell_angle_gamma 90.00
loop_
_symmetry_equiv_pos_as_xyz
'x,y,z'
loop_
_atom_site_label
_atom_site_fract_x
_atom_site_fract_y
_atom_site_fract_z
Ag1 0.0000 0.0000 0.0000
Os1 0.5000 0.0000 0.5000
Cl1 0.4899 0.5000 0.2718
Cl2 0.5101 0.5000 0.7282